1.
Here is an optimized crystal structure of SrMn2Ni from Alexandria via LeMat-Bulk. Energies are from PBE-GGA.

Cell lengths 4.8138, 4.8138, 4.8138 Å; angles 120.66, 120.66, 88.86 degrees
Closest atoms and distances in Å follow each position.
Fractional positions:
Mn  0.0000  0.0000  0.0000  4 Mn 2.94, 4 Sr 2.94
Mn  0.2500  0.7500  0.5000  4 Ni 2.94, 4 Mn 2.94
Ni  0.5000  0.5000  0.0000  4 Mn 2.94, 4 Sr 2.94
Sr  0.7500  0.2500  0.5000  4 Mn 2.94, 4 Ni 2.94

Output
- spin magnetization (μB per cell) = 8.41
- raw total energy (eV per atom) = -5.77
- E_form (eV/atom) = 0.68
- crystal system = tetragonal
- space-group type = I-4m2


2.
Here is an optimized crystal structure of SrMnNi from Alexandria via LeMat-Bulk. Energies are from PBE-GGA.

Cell lengths 4.0811, 4.0811, 4.7679 Å; angles 90.00, 90.00, 120.00 degrees
Closest atoms and distances in Å follow each position.
Fractional positions:
Mn  0.0000  0.0000  0.1667  3 Ni 2.36
Ni  0.6667  0.3333  0.1667  3 Mn 2.36
Sr  0.3333  0.6667  0.6666  6 Ni 3.35, 6 Mn 3.35

Output
- spin magnetization (μB per cell) = 3.49
- raw total energy (eV per atom) = -5.28
- E_form (eV/atom) = 0.26
- relative energy among the computed polymorphs (eV per atom) = 0.000
- crystal system = hexagonal
- space-group type = P-6m2


3.
Here is an optimized crystal structure of SrMn2Ni from Alexandria via LeMat-Bulk. Energies are from PBE-GGA.

Cell lengths 4.9706, 5.7521, 2.9798 Å; angles 76.24, 87.20, 114.80 degrees
Closest atoms and distances in Å follow each position.
Fractional positions:
Mn  0.0000  0.0000  0.0000  6 Mn 2.83-2.98, 2 Ni 2.91, 2 Sr 2.91
Mn  0.5000  0.0000  0.5000  6 Mn 2.83-2.98, 2 Sr 2.91, 2 Ni 2.91
Ni  0.0000  0.5000  0.5000  4 Sr 2.83-2.96, 4 Mn 2.91, 2 Ni 2.98
Sr  0.5000  0.5000  0.0000  4 Ni 2.83-2.96, 4 Mn 2.91, 2 Sr 2.98

Output
- spin magnetization (μB per cell) = 7.72
- raw total energy (eV per atom) = -5.68
- E_form (eV/atom) = 0.77
- crystal system = monoclinic
- space-group type = C2/m


4.
Here is an optimized crystal structure of SrMn2Ni from Alexandria via LeMat-Bulk. Energies are from PBE-GGA.

Cell lengths 4.0495, 4.0495, 4.5494 Å; angles 90.00, 90.00, 90.01 degrees
Closest atoms and distances in Å follow each position.
Fractional positions:
Mn  0.0000  0.0000  0.0000  4 Mn 2.86, 4 Ni 3.05, 4 Sr 3.05
Mn  0.5000  0.5000  0.0000  4 Mn 2.86, 4 Sr 3.05, 4 Ni 3.05
Ni  0.5000  0.0000  0.5000  4 Sr 2.86, 8 Mn 3.05
Sr  0.0000  0.5000  0.5000  4 Ni 2.86, 8 Mn 3.05

Output
- spin magnetization (μB per cell) = 7.68
- raw total energy (eV per atom) = -5.79
- E_form (eV/atom) = 0.66
- crystal system = tetragonal
- space-group type = P4/mmm


5.
Here is an optimized crystal structure of SrMnNi from Alexandria via LeMat-Bulk. Energies are from PBE-GGA.

Cell lengths 5.9973, 5.9968, 3.4059 Å; angles 73.51, 73.49, 32.99 degrees
Closest atoms and distances in Å follow each position.
Fractional positions:
Mn  0.9486  0.9486  0.0514  4 Ni 2.52
Ni  0.3809  0.3809  0.6191  4 Mn 2.52
Sr  0.6705  0.6705  0.3295  1 Mn 3.05, 5 Ni 3.18-3.34, 4 Sr 3.41

Output
- spin magnetization (μB per cell) = 4.18
- raw total energy (eV per atom) = -5.22
- E_form (eV/atom) = 0.32
- relative energy among the computed polymorphs (eV per atom) = 0.060
- crystal system = tetragonal
- space-group type = I4mm


6.
Here is an optimized crystal structure of SrMn2Ni from Alexandria via LeMat-Bulk. Energies are from PBE-GGA.

Cell lengths 6.9844, 6.9844, 6.9844 Å; angles 153.12, 146.18, 43.72 degrees
Closest atoms and distances in Å follow each position.
Fractional positions:
Mn  0.0186  0.0186  0.0000  4 Ni 2.60, 2 Mn 2.68
Mn  0.6536  0.1536  0.5000  2 Ni 2.39
Ni  0.5180  0.5180  0.0000  6 Mn 2.39-2.60
Sr  0.3099  0.8099  0.5000  2 Ni 3.15, 2 Sr 3.25, 6 Mn 3.30-3.38

Output
- spin magnetization (μB per cell) = 8.49
- raw total energy (eV per atom) = -5.95
- E_form (eV/atom) = 0.50
- crystal system = orthorhombic
- space-group type = Imm2


7.
Here is an optimized crystal structure of SrMn2Ni2 from Alexandria via LeMat-Bulk. Energies are from PBE-GGA.

Cell lengths 5.8742, 5.8742, 5.8742 Å; angles 136.48, 136.48, 63.24 degrees
Closest atoms and distances in Å follow each position.
Fractional positions:
Sr  0.0000  0.0000  0.0000  8 Ni 3.32, 10 Mn 3.40-3.56
Mn  0.6441  0.6441  0.0000  4 Ni 2.42
Mn  0.3559  0.3559  0.0000  4 Ni 2.42
Ni  0.2500  0.7500  0.5000  4 Mn 2.42
Ni  0.7500  0.2500  0.5000  4 Mn 2.42

Output
- spin magnetization (μB per cell) = 8.87
- raw total energy (eV per atom) = -6.03
- E_form (eV/atom) = 0.29
- relative energy among the computed polymorphs (eV per atom) = 0.000
- crystal system = tetragonal
- space-group type = I4/mmm


8.
Here is an optimized crystal structure of SrMn2Ni from Alexandria via LeMat-Bulk. Energies are from PBE-GGA.

Cell lengths 4.7480, 4.7480, 4.7480 Å; angles 60.00, 60.00, 60.00 degrees
Closest atoms and distances in Å follow each position.
Fractional positions:
Sr  0.5000  0.5000  0.5000  8 Mn 2.91
Mn  0.2500  0.2500  0.2500  4 Ni 2.91, 4 Sr 2.91
Mn  0.7500  0.7500  0.7500  4 Ni 2.91, 4 Sr 2.91
Ni  0.0000  0.0000  0.0000  8 Mn 2.91

Output
- spin magnetization (μB per cell) = 8.23
- raw total energy (eV per atom) = -5.75
- E_form (eV/atom) = 0.70
- crystal system = cubic
- space-group type = Fm-3m


9.
Here is an optimized crystal structure of SrMn2Ni from Alexandria via LeMat-Bulk. Energies are from PBE-GGA.

Cell lengths 4.8988, 4.8988, 8.8198 Å; angles 73.88, 73.88, 90.00 degrees
Closest atoms and distances in Å follow each position.
Fractional positions:
Sr  0.0000  0.0000  0.0000  8 Mn 3.41, 4 Ni 3.46
Sr  0.7500  0.2500  0.5000  8 Mn 3.41, 4 Ni 3.46
Mn  0.3750  0.1250  0.2500  2 Ni 2.37, 2 Mn 2.45
Mn  0.3750  0.6250  0.2500  2 Ni 2.37, 2 Mn 2.45
Mn  0.3750  0.6250  0.7500  2 Ni 2.37, 2 Mn 2.45
Mn  0.8750  0.6250  0.7500  2 Ni 2.37, 2 Mn 2.45
Ni  0.5000  0.5000  0.0000  4 Mn 2.37
Ni  0.2500  0.7500  0.5000  4 Mn 2.37

Output
- spin magnetization (μB per cell) = 14.73
- raw total energy (eV per atom) = -5.81
- E_form (eV/atom) = 0.65
- crystal system = tetragonal
- space-group type = I4_1/amd


10.
Here is an optimized crystal structure of SrMnNi3 from Alexandria via LeMat-Bulk. Energies are from PBE-GGA.

Cell lengths 4.4374, 4.4374, 4.4374 Å; angles 90.00, 90.00, 90.00 degrees
Closest atoms and distances in Å follow each position.
Fractional positions:
Sr  0.5000  0.5000  0.5000  12 Ni 3.14
Mn  0.0000  0.0000  0.0000  6 Ni 2.22
Ni  0.0000  0.5000  0.0000  2 Mn 2.22
Ni  0.0000  0.0000  0.5000  2 Mn 2.22
Ni  0.5000  0.0000  0.0000  2 Mn 2.22

Output
- spin magnetization (μB per cell) = 0.00
- raw total energy (eV per atom) = -5.09
- E_form (eV/atom) = 0.55
- relative energy among the computed polymorphs (eV per atom) = 0.000
- crystal system = cubic
- space-group type = Pm-3m


11.
Here is an optimized crystal structure of SrMn2Ni from Alexandria via LeMat-Bulk. Energies are from PBE-GGA.

Cell lengths 4.1398, 3.6559, 6.1515 Å; angles 72.98, 90.00, 90.00 degrees
Closest atoms and distances in Å follow each position.
Fractional positions:
Mn  0.0000  0.9839  0.1544  2 Ni 2.44
Mn  0.5000  0.4498  0.2224  2 Ni 2.40
Ni  0.0000  0.3492  0.4288  4 Mn 2.40-2.44
Sr  0.5000  0.7171  0.6944  3 Mn 3.11-3.32, 4 Ni 3.17-3.18

Output
- spin magnetization (μB per cell) = 8.45
- raw total energy (eV per atom) = -6.00
- E_form (eV/atom) = 0.45
- crystal system = monoclinic
- space-group type = Pm


12.
Here is an optimized crystal structure of SrMnNi3 from Alexandria via LeMat-Bulk. Energies are from PBE-GGA.

Cell lengths 4.7247, 4.7247, 4.7247 Å; angles 90.00, 90.00, 90.00 degrees
Closest atoms and distances in Å follow each position.
Fractional positions:
Sr  0.0000  0.0000  0.0000  6 Ni 2.36
Mn  0.5000  0.5000  0.5000  12 Ni 3.34
Ni  0.0000  0.5000  0.0000  2 Sr 2.36
Ni  0.0000  0.0000  0.5000  2 Sr 2.36
Ni  0.5000  0.0000  0.0000  2 Sr 2.36

Output
- spin magnetization (μB per cell) = 5.00
- raw total energy (eV per atom) = -3.86
- E_form (eV/atom) = 1.78
- relative energy among the computed polymorphs (eV per atom) = 1.226
- crystal system = cubic
- space-group type = Pm-3m


13.
Here is an optimized crystal structure of SrMn2Ni from Alexandria via LeMat-Bulk. Energies are from PBE-GGA.

Cell lengths 6.1010, 6.1010, 6.1010 Å; angles 40.40, 40.40, 40.40 degrees
Closest atoms and distances in Å follow each position.
Fractional positions:
Mn  0.9491  0.9491  0.9491  3 Ni 2.49, 3 Mn 2.66
Mn  0.5509  0.5509  0.5509  3 Ni 2.49, 3 Mn 2.66
Ni  0.2500  0.2500  0.2500  6 Mn 2.49
Sr  0.7500  0.7500  0.7500  8 Mn 3.32-3.34, 6 Ni 3.71

Output
- spin magnetization (μB per cell) = 7.95
- raw total energy (eV per atom) = -6.17
- E_form (eV/atom) = 0.29
- crystal system = trigonal
- space-group type = R-3m


14.
Here is an optimized crystal structure of SrMn2Ni from Alexandria via LeMat-Bulk. Energies are from PBE-GGA.

Cell lengths 4.1368, 4.1368, 6.1154 Å; angles 70.18, 70.18, 60.00 degrees
Closest atoms and distances in Å follow each position.
Fractional positions:
Mn  0.0616  0.0616  0.8155  3 Mn 2.40, 3 Ni 2.56-2.57
Mn  0.7393  0.7393  0.7825  3 Mn 2.40, 3 Ni 2.50
Ni  0.4503  0.4503  0.6493  6 Mn 2.50-2.57
Sr  0.2488  0.2488  0.2527  4 Mn 3.17-3.43, 4 Ni 3.27-3.40

Output
- spin magnetization (μB per cell) = 0.04
- raw total energy (eV per atom) = -6.26
- E_form (eV/atom) = 0.19
- crystal system = trigonal
- space-group type = R3m